Record 1
This record from Alexandria via LeMat-Bulk describes crystalline Er4AlHg3 at its relaxed geometry. The functional is PBE-GGA.

a = 3.7684 Å, b = 4.6785 Å, c = 11.5048 Å
α = 90.00°, β = 90.00°, γ = 90.00°
Atoms (fractional coordinates):
Al 0.5000 0.5000 0.0776
Hg 0.0000 0.0000 0.4150
Hg 0.0000 0.5000 0.5863
Hg 0.5000 0.0000 0.9220
Er 0.5000 0.5000 0.3491
Er 0.5000 0.0000 0.6482
Er 0.0000 0.5000 0.8516
Er 0.0000 0.0000 0.1501

M_tot ... 0.00 μB per cell
D(E_F) ... 0.7595 states/eV/atom
ΔE_f ... -3.34 eV/f.u.
Mass density ... 10.62 g/cm³
Polymorph energy (0 for the lowest one) ... 0.034 eV per atom


Record 2
This record from Alexandria via LeMat-Bulk describes crystalline BaMgZr at its relaxed geometry. The functional is PBE-GGA.

a = 15.3460 Å, b = 3.5504 Å, c = 3.5448 Å
α = 89.87°, β = 86.91°, γ = 92.43°
Atoms (fractional coordinates):
Ba 0.7940 0.8375 0.8125
Zr 0.3664 0.2593 0.4106
Ba 0.0468 0.1844 0.5017
Mg 0.6099 0.3040 0.3524
Zr 0.2439 0.7345 0.9418
Mg 0.4924 0.7823 0.8806

M_tot ... 0.00 μB per cell
D(E_F) ... 0.6974 states/eV/atom
ΔE_f ... 0.69 eV/f.u.
Mass density ... 4.36 g/cm³
Polymorph energy (0 for the lowest one) ... 0.000 eV per atom


Record 3
This record from Alexandria via LeMat-Bulk describes crystalline K2Ge2I7 at its relaxed geometry. The functional is PBE-GGA.

a = 7.0853 Å, b = 9.3084 Å, c = 9.3084 Å
α = 97.83°, β = 99.53°, γ = 99.53°
Atoms (fractional coordinates):
I 0.7289 0.4001 0.4001
K 0.0000 0.2884 0.7116
I 0.1993 0.4060 0.0940
I 0.8007 0.5940 0.9060
I 0.2711 0.5999 0.5999
Ge 0.5867 0.7819 0.7819
K 0.0000 0.7116 0.2884
Ge 0.4133 0.2181 0.2181
I 0.8007 0.9060 0.5940
I 0.1993 0.0940 0.4060
I 0.5000 0.0000 0.0000

M_tot ... 0.00 μB per cell
D(E_F) ... 0.3395 states/eV/atom
Mass density ... 3.14 g/cm³
Polymorph energy (0 for the lowest one) ... 0.000 eV per atom
Formation energy (no corrections) ... -65 kJ per mole of atoms


Record 4
This record from Alexandria via LeMat-Bulk describes crystalline Nd2Y3Tm6Pu at its relaxed geometry. The functional is PBE-GGA.

a = 6.1307 Å, b = 6.1307 Å, c = 11.6498 Å
α = 95.05°, β = 95.05°, γ = 120.02°
Each line ends with the local moment (μB).
Atoms (fractional coordinates):
Tm 0.7541 0.7541 0.2498  0.03
Y 0.5000 0.5000 0.5000  -0.03
Tm 0.0828 0.4115 0.2496  0.03
Pu 0.0000 0.0000 0.0000  5.57
Nd 0.3335 0.6665 0.0000  0.03
Nd 0.6665 0.3335 0.0000  0.03
Y 0.1670 0.8330 0.5000  -0.03
Tm 0.4115 0.0828 0.2496  0.03
Tm 0.5885 0.9172 0.7504  0.03
Tm 0.2459 0.2459 0.7502  0.03
Tm 0.9172 0.5885 0.7504  0.03
Y 0.8330 0.1670 0.5000  -0.03

M_tot ... 6.18 μB per cell
D(E_F) ... 2.1370 states/eV/atom
ΔE_f ... 0.63 eV/f.u.
Mass density ... 8.07 g/cm³


Record 5
This record from Alexandria via LeMat-Bulk describes crystalline CaLa2Rh at its relaxed geometry. The functional is PBE-GGA.

a = 3.6169 Å, b = 3.6169 Å, c = 9.2791 Å
α = 90.00°, β = 90.00°, γ = 89.94°
Atoms (fractional coordinates):
La 0.0000 0.0000 0.0100
Ca 0.5000 0.5000 0.6845
Rh 0.0000 0.0000 0.4813
La 0.5000 0.5000 0.3243

M_tot ... 0.00 μB per cell
D(E_F) ... 0.7397 states/eV/atom
ΔE_f ... -1.12 eV/f.u.
Mass density ... 5.76 g/cm³
Polymorph energy (0 for the lowest one) ... 0.124 eV per atom


Record 6
This record from Alexandria via LeMat-Bulk describes crystalline CrNiBr2 at its relaxed geometry. The functional is PBE-GGA.

a = 4.4949 Å, b = 4.4949 Å, c = 4.4949 Å
α = 60.00°, β = 60.00°, γ = 60.00°
Each line ends with the local moment (μB).
Atoms (fractional coordinates):
Ni 0.5000 0.5000 0.5000  0.44
Br 0.7500 0.7500 0.7500  0.01
Br 0.2500 0.2500 0.2500  0.01
Cr 0.0000 0.0000 0.0000  0.21

M_tot ... 0.60 μB per cell
D(E_F) ... 2.1381 states/eV/atom
Mass density ... 6.99 g/cm³
Polymorph energy (0 for the lowest one) ... 0.899 eV per atom
Formation energy (no corrections) ... 78 kJ per mole of atoms


Record 7
This record from Alexandria via LeMat-Bulk describes crystalline Rb2NbN at its relaxed geometry. The functional is PBE-GGA.

a = 12.8523 Å, b = 12.8523 Å, c = 9.3129 Å
α = 46.37°, β = 46.37°, γ = 90.00°
Each line ends with the local moment (μB).
Atoms (fractional coordinates):
Rb 0.3750 0.5724 0.7500  0.01
Nb 0.7500 0.2500 0.5000  1.57
Rb 0.8750 0.6776 0.7500  0.01
N 0.2500 0.7500 0.5000  -0.11
Rb 0.4276 0.1250 0.2500  0.01
Nb 0.0000 0.0000 0.0000  1.57
Rb 0.3224 0.6250 0.2500  0.01
N 0.5000 0.5000 0.0000  -0.11

M_tot ... 4.01 μB per cell
D(E_F) ... 0.3055 states/eV/atom
Mass density ... 2.75 g/cm³
Formation energy (no corrections) ... 40 kJ per mole of atoms


Record 8
This record from Alexandria via LeMat-Bulk describes crystalline BaSr2Ag2 at its relaxed geometry. The functional is PBE-GGA.

a = 5.2085 Å, b = 5.2085 Å, c = 8.0035 Å
α = 71.01°, β = 71.01°, γ = 90.00°
Atoms (fractional coordinates):
Ag 0.3995 0.3995 0.2011
Sr 0.7500 0.2500 0.5000
Ag 0.6005 0.6005 0.7989
Ba 0.0000 0.0000 0.0000
Sr 0.2500 0.7500 0.5000

M_tot ... 0.00 μB per cell
D(E_F) ... 0.6597 states/eV/atom
ΔE_f ... -0.76 eV/f.u.
Mass density ... 4.55 g/cm³
Polymorph energy (0 for the lowest one) ... 0.080 eV per atom


Record 9
This record from Alexandria via LeMat-Bulk describes crystalline VTcBr at its relaxed geometry. The functional is PBE-GGA.

a = 2.9754 Å, b = 4.2282 Å, c = 4.2281 Å
α = 120.00°, β = 90.01°, γ = 90.00°
Atoms (fractional coordinates):
Tc 0.0225 0.1662 0.3536
Br 0.5226 0.8329 0.6869
V 0.5232 0.4995 0.0202

M_tot ... 0.00 μB per cell
D(E_F) ... 0.7301 states/eV/atom
Mass density ... 8.25 g/cm³
Polymorph energy (0 for the lowest one) ... 0.557 eV per atom
Formation energy (no corrections) ... 59 kJ per mole of atoms


Record 10
This record from Alexandria via LeMat-Bulk describes crystalline GaNi2Sb at its relaxed geometry. The functional is PBE-GGA.

a = 4.0710 Å, b = 4.0710 Å, c = 8.6189 Å
α = 76.34°, β = 76.34°, γ = 90.00°
Atoms (fractional coordinates):
Ni 0.8750 0.8575 0.7500
Ga 0.2500 0.7500 0.5000
Sb 0.7500 0.2500 0.5000
Ni 0.1425 0.6250 0.2500
Ni 0.6075 0.1250 0.2500
Ni 0.3750 0.3925 0.7500
Sb 0.0000 0.0000 0.0000
Ga 0.5000 0.5000 0.0000

M_tot ... 0.00 μB per cell
D(E_F) ... 0.6873 states/eV/atom
Mass density ... 7.62 g/cm³
Polymorph energy (0 for the lowest one) ... 0.111 eV per atom
Formation energy (no corrections) ... 6 kJ per mole of atoms


Record 11
This record from Alexandria via LeMat-Bulk describes crystalline SrV2N at its relaxed geometry. The functional is PBE-GGA.

a = 6.1239 Å, b = 6.1239 Å, c = 6.1236 Å
α = 60.00°, β = 60.00°, γ = 90.00°
Each line ends with the local moment (μB).
Atoms (fractional coordinates):
Sr 0.7500 0.2500 0.5000  0.02
V 0.8750 0.6249 0.7500  0.57
V 0.3751 0.6250 0.2500  0.57
Sr 0.0000 0.0000 0.0000  0.02
N 0.5000 0.5000 0.0000  -0.04
N 0.2500 0.7500 0.5000  -0.04
V 0.3749 0.1250 0.2500  0.57
V 0.3750 0.6251 0.7500  0.57

M_tot ... 2.79 μB per cell
D(E_F) ... 1.1457 states/eV/atom
Mass density ... 4.16 g/cm³
Formation energy (no corrections) ... -7 kJ per mole of atoms


Record 12
This record from Alexandria via LeMat-Bulk describes crystalline CuNiW2I at its relaxed geometry. The functional is PBE-GGA.

a = 4.5461 Å, b = 5.0497 Å, c = 4.5461 Å
α = 90.00°, β = 90.00°, γ = 90.00°
Each line ends with the local moment (μB).
Atoms (fractional coordinates):
Cu 0.5000 0.5000 0.5000  0.07
Ni 0.0000 0.0000 0.0000  0.12
I 0.0000 0.5000 0.0000  0.02
W 0.0000 0.0000 0.5000  0.66
W 0.5000 0.0000 0.0000  0.76

M_tot ... 2.05 μB per cell
D(E_F) ... 0.9249 states/eV/atom
Mass density ... 9.81 g/cm³
Formation energy (no corrections) ... 191 kJ per mole of atoms


What is the formula in the eighth record?
BaSr2Ag2